EuGdBiAu | GGA-PBE | optimized geometry

Output
VASP energy in eV/atom: -8.63
M_tot in Bohr magnetons per cell: 14.73

a = 5.416 Å, b = 5.416 Å, c = 5.416 Å
α = 60.00°, β = 60.00°, γ = 60.00°
Sites, in units of the cell vectors:
Eu: 0.000 0.000 0.000
Gd: 0.500 0.500 0.500
Bi: 0.750 0.750 0.750
Au: 0.250 0.250 0.250